# 1
# Ho3AlSi

An optimized crystal structure of Ho3AlSi (PBE, the Alexandria database).

The calculation puts the formation energy from raw total energies at -379 meV per atom. The value obtained for the size of the total moment is 0.00 Bohr magnetons per cell. The density of states at the Fermi level comes out at 3.92 states/eV/f.u.

a = 4.1047 Å, b = 7.5676 Å, c = 8.3979 Å
α = 88.50°, β = 89.89°, γ = 74.41°
Space group P-1 (No. 2)
Asymmetric unit:
Ho 0.0485 0.4015 0.1754 (multiplicity 2)
Ho 0.2357 0.0279 0.8232 (multiplicity 2)
Ho 0.4059 0.6846 0.4030 (multiplicity 2)
Al 0.2042 0.0933 0.4352 (multiplicity 2)
Si 0.3942 0.7108 0.0596 (multiplicity 2)

***

# 2
# Mg6Cd3In

An optimized crystal structure of Mg6Cd3In (PBE, the Alexandria database).

The energy of formation from the pure elements is -0.08 eV/atom. For the excess energy over the best structure of this formula in the dataset, the calculation gives 9 meV per atom. The value obtained for the size of the total moment is 0.00 Bohr magnetons per cell. The density of states at the Fermi level comes out at 3.82 states/eV/f.u.

a = 8.4388 Å, b = 5.0901 Å, c = 11.0649 Å
α = 90.00°, β = 110.60°, γ = 90.00°
Space group P2_1/m (No. 11)
Asymmetric unit:
Mg 0.0119 0.2500 0.4183 (multiplicity 2)
Mg 0.1992 0.7500 0.8850 (multiplicity 2)
Mg 0.2058 0.2500 0.2045 (multiplicity 2)
Mg 0.2098 0.7500 0.3737 (multiplicity 2)
Mg 0.3871 0.7500 0.6726 (multiplicity 2)
Mg 0.4195 0.7500 0.1827 (multiplicity 2)
Cd 0.0161 0.7500 0.0853 (multiplicity 2)
Cd 0.3951 0.2500 0.5088 (multiplicity 2)
Cd 0.4079 0.2500 0.0256 (multiplicity 2)
In 0.1859 0.2500 0.7147 (multiplicity 2)

***

# 3
# InCuS4

An optimized crystal structure of InCuS4 (PBE, the Alexandria database).

The calculation puts the formation energy from raw total energies at -154 meV per atom. The value obtained for the size of the total moment is 0.00 Bohr magnetons per cell.

a = 5.5232 Å, b = 7.8752 Å, c = 8.6587 Å
α = 116.38°, β = 100.97°, γ = 98.11°
Space group P-1 (No. 2)
Asymmetric unit:
In 0.2216 0.2187 0.2725 (multiplicity 2)
Cu 0.3562 0.1280 0.8774 (multiplicity 2)
S 0.1123 0.3022 0.0207 (multiplicity 2)
S 0.1442 0.8524 0.6086 (multiplicity 2)
S 0.2617 0.8639 0.1601 (multiplicity 2)
S 0.3088 0.6201 0.5834 (multiplicity 2)

***

# 4
# La6NdZn2

An optimized crystal structure of La6NdZn2 (PBE, the Alexandria database).

The energy of formation from the pure elements is -0.14 eV/atom. For the excess energy over the best structure of this formula in the dataset, the calculation gives 0 meV per atom. The value obtained for the size of the total moment is 0.00 Bohr magnetons per cell. The density of states at the Fermi level comes out at 11.40 states/eV/f.u.

a = 13.0241 Å, b = 3.8307 Å, c = 12.2696 Å
α = 90.00°, β = 108.98°, γ = 90.00°
Space group C2/m (No. 12)
Asymmetric unit:
La 0.0286 0.0000 0.3281 (multiplicity 4)
La 0.1867 0.5000 0.8747 (multiplicity 4)
La 0.1900 0.5000 0.5939 (multiplicity 4)
Nd 0.0000 0.0000 0.0000 (multiplicity 2)
Zn 0.1468 0.5000 0.1963 (multiplicity 4)